This record from Alexandria via LeMat-Bulk describes a relaxed CuP2PbS crystal. The functional is PBE-GGA.

The space group is P4/mmm (No. 123) and the conventional cell measures 4.517, 4.517 and 5.065 Å, with angles of 90.00, 90.00 and 90.00 degrees. Symmetry generates all atoms from Cu at (0.000, 0.000, 0.000), P at (0.000, 0.500, 0.000), Pb at (0.500, 0.500, 0.500) and S at (0.000, 0.000, 0.500).

The volume comes out at 103.34 Å³/f.u. For the relative energy among the computed polymorphs, the calculation gives 0.000 eV per atom. Its formation energy (no corrections) is 2.5 eV per formula unit.